Arrangement A

Below is crystalline Pm8NiPd2 at its relaxed geometry, with properties calculated at the GGA-PBE level.

Summary:
M_tot	0.00	μB per atom

Lattice parameters (Å, degrees): 18.2724 5.1874 6.7912 90.00 107.93 90.00
Space group C2/m (No. 12)
Inequivalent atoms, fractional coordinates:
Pm (0.0279, 0.0000, 0.2947)
Pm (0.0902, 0.5000, 0.9552)
Pm (0.1696, 0.5000, 0.4976)
Pm (0.2020, 0.0000, 0.8383)
Ni (0.0000, 0.5000, 0.5000)
Pd (0.1736, 0.0000, 0.2366)

Arrangement B

Below is crystalline Pm8NiPd2 at its relaxed geometry, with properties calculated at the GGA-PBE level.

Summary:
M_tot	0.00	μB per atom

Lattice parameters (Å, degrees): 9.0185 12.3920 6.3879 90.00 112.94 90.00
Space group Cm (No. 8)
Inequivalent atoms, fractional coordinates:
Pm (0.0000, 0.0000, 0.0000)
Pm (0.0915, 0.3605, 0.8616)
Pm (0.1410, 0.1346, 0.5725)
Pm (0.2330, 0.5000, 0.4023)
Pm (0.3678, 0.1575, 0.2259)
Ni (0.3640, 0.0000, 0.9320)
Pd (0.3589, 0.3126, 0.6947)

Name the least stable of them. arrangement B.

Arrangement A

Below is crystalline PmNi2Pd at its relaxed geometry, with properties calculated at the GGA-PBE level.

Summary:
M_tot	0.00	μB per atom

Lattice parameters (Å, degrees): 4.2852 4.2852 13.6283 90.00 90.00 120.00
Space group R-3m (No. 166, hexagonal axes)
Inequivalent atoms, fractional coordinates:
Pm (0.0000, 0.0000, 0.0000)
Ni (0.0000, 0.0000, 0.1963)
Pd (0.0000, 0.0000, 0.5000)

Arrangement B

Below is crystalline PmNi2Pd at its relaxed geometry, with properties calculated at the GGA-PBE level.

Summary:
M_tot	0.11	μB per atom

Lattice parameters (Å, degrees): 4.0683 4.0683 3.9298 90.00 90.00 90.00
Space group P4/mmm (No. 123)
Inequivalent atoms, fractional coordinates:
Pm (0.0000, 0.0000, 0.0000)
Ni (0.0000, 0.5000, 0.5000)
Pd (0.5000, 0.5000, 0.0000)

Name the least stable of them. arrangement B.

Arrangement A

Below is crystalline PmPrNiPd at its relaxed geometry, with properties calculated at the GGA-PBE level.

Summary:
M_tot	0.00	μB per atom

Lattice parameters (Å, degrees): 4.5004 3.9106 10.6735 90.00 90.00 90.00
Space group Amm2 (No. 38)
Inequivalent atoms, fractional coordinates:
Pm (0.0000, 0.0000, 0.0000)
Pr (0.5000, 0.0000, 0.2766)
Ni (0.5000, 0.0000, 0.5556)
Pd (0.0000, 0.0000, 0.7134)

Arrangement B

Below is crystalline PmPrNiPd at its relaxed geometry, with properties calculated at the GGA-PBE level.

Summary:
M_tot	0.00	μB per atom

Lattice parameters (Å, degrees): 7.1452 7.1452 7.1452 90.00 90.00 90.00
Space group F-43m (No. 216)
Inequivalent atoms, fractional coordinates:
Pm (0.0000, 0.0000, 0.0000)
Pr (0.0000, 0.0000, 0.5000)
Ni (0.2500, 0.2500, 0.2500)
Pd (0.2500, 0.2500, 0.7500)

Name the least stable of them. arrangement B.

Arrangement A

Below is crystalline PmTmNiPd at its relaxed geometry, with properties calculated at the GGA-PBE level.

Summary:
M_tot	0.00	μB per atom

Lattice parameters (Å, degrees): 4.4537 3.7953 10.2919 90.00 90.00 90.00
Space group Amm2 (No. 38)
Inequivalent atoms, fractional coordinates:
Pm (0.0000, 0.0000, 0.0000)
Tm (0.5000, 0.0000, 0.7212)
Ni (0.0000, 0.0000, 0.2759)
Pd (0.5000, 0.0000, 0.4338)

Arrangement B

Below is crystalline PmTmNiPd at its relaxed geometry, with properties calculated at the GGA-PBE level.

Summary:
M_tot	0.00	μB per atom

Lattice parameters (Å, degrees): 6.9575 6.9575 6.9575 90.00 90.00 90.00
Space group F-43m (No. 216)
Inequivalent atoms, fractional coordinates:
Pm (0.0000, 0.0000, 0.0000)
Tm (0.0000, 0.0000, 0.5000)
Ni (0.2500, 0.2500, 0.2500)
Pd (0.2500, 0.2500, 0.7500)

Name the least stable of them. arrangement B.

Arrangement A

Below is crystalline Pr2NiPd at its relaxed geometry, with properties calculated at the GGA-PBE level.

Summary:
M_tot	0.00	μB per atom

Lattice parameters (Å, degrees): 7.1975 7.1975 7.1975 90.00 90.00 90.00
Space group Fm-3m (No. 225)
Inequivalent atoms, fractional coordinates:
Pr (0.2500, 0.2500, 0.2500)
Ni (0.0000, 0.0000, 0.0000)
Pd (0.0000, 0.0000, 0.5000)

Arrangement B

Below is crystalline Pr2NiPd at its relaxed geometry, with properties calculated at the GGA-PBE level.

Summary:
M_tot	0.00	μB per atom

Lattice parameters (Å, degrees): 4.1348 4.1348 20.6860 90.00 90.00 120.00
Space group R-3m (No. 166, hexagonal axes)
Inequivalent atoms, fractional coordinates:
Pr (0.0000, 0.0000, 0.2457)
Ni (0.0000, 0.0000, 0.5000)
Pd (0.0000, 0.0000, 0.0000)

Arrangement C

Below is crystalline Pr2NiPd at its relaxed geometry, with properties calculated at the GGA-PBE level.

Summary:
M_tot	0.00	μB per atom

Lattice parameters (Å, degrees): 5.7664 4.4927 7.8707 90.00 110.04 90.00
Space group P2_1/m (No. 11)
Inequivalent atoms, fractional coordinates:
Pr (0.2212, 0.2500, 0.4347)
Pr (0.2289, 0.2500, 0.9279)
Ni (0.3444, 0.7500, 0.7102)
Pd (0.3387, 0.7500, 0.2116)

Name the least stable of them. arrangement B.

Arrangement A

Below is crystalline Pr8NiPd2 at its relaxed geometry, with properties calculated at the GGA-PBE level.

Summary:
M_tot	0.00	μB per atom

Lattice parameters (Å, degrees): 18.6641 5.2592 6.8791 90.00 108.42 90.00
Space group C2/m (No. 12)
Inequivalent atoms, fractional coordinates:
Pr (0.0267, 0.0000, 0.2961)
Pr (0.0903, 0.5000, 0.9575)
Pr (0.1708, 0.5000, 0.5017)
Pr (0.2016, 0.0000, 0.8417)
Ni (0.0000, 0.5000, 0.5000)
Pd (0.1715, 0.0000, 0.2387)

Arrangement B

Below is crystalline Pr8NiPd2 at its relaxed geometry, with properties calculated at the GGA-PBE level.

Summary:
M_tot	0.00	μB per atom

Lattice parameters (Å, degrees): 9.1220 12.5050 6.5269 90.00 112.71 90.00
Space group Cm (No. 8)
Inequivalent atoms, fractional coordinates:
Pr (0.0000, 0.0000, 0.0000)
Pr (0.0898, 0.3612, 0.8574)
Pr (0.1415, 0.1350, 0.5696)
Pr (0.2331, 0.5000, 0.4005)
Pr (0.3680, 0.1603, 0.2211)
Ni (0.3594, 0.0000, 0.9306)
Pd (0.3602, 0.3131, 0.6959)

Name the least stable of them. arrangement B.

Arrangement A

Below is crystalline Pr3NiPd at its relaxed geometry, with properties calculated at the GGA-PBE level.

Summary:
M_tot	0.00	μB per atom

Lattice parameters (Å, degrees): 8.9900 7.4842 8.2885 90.00 104.40 90.00
Space group P2_1/c (No. 14)
Inequivalent atoms, fractional coordinates:
Pr (0.0500, 0.0130, 0.2187)
Pr (0.2814, 0.6519, 0.1130)
Pr (0.3476, 0.1824, 0.9977)
Ni (0.0604, 0.1677, 0.5288)
Pd (0.4157, 0.5359, 0.8220)

Arrangement B

Below is crystalline Pr3NiPd at its relaxed geometry, with properties calculated at the GGA-PBE level.

Summary:
M_tot	0.00	μB per atom

Lattice parameters (Å, degrees): 8.3731 3.9746 8.4242 90.00 109.04 90.00
Space group P2_1/m (No. 11)
Inequivalent atoms, fractional coordinates:
Pr (0.0597, 0.2500, 0.2347)
Pr (0.3192, 0.2500, 0.9648)
Pr (0.3498, 0.7500, 0.6012)
Ni (0.0694, 0.2500, 0.5789)
Pd (0.3491, 0.7500, 0.2393)

Name the least stable of them. arrangement B.

Arrangement A

Below is crystalline PrThNiPd at its relaxed geometry, with properties calculated at the GGA-PBE level.

Summary:
M_tot	0.00	μB per atom

Lattice parameters (Å, degrees): 4.3506 3.8309 11.3740 90.00 90.00 90.00
Space group Amm2 (No. 38)
Inequivalent atoms, fractional coordinates:
Pr (0.0000, 0.0000, 0.0000)
Th (0.5000, 0.0000, 0.2727)
Ni (0.0000, 0.0000, 0.7373)
Pd (0.5000, 0.0000, 0.5666)

Arrangement B

Below is crystalline PrThNiPd at its relaxed geometry, with properties calculated at the GGA-PBE level.

Summary:
M_tot	0.00	μB per atom

Lattice parameters (Å, degrees): 7.1651 7.1651 7.1651 90.00 90.00 90.00
Space group F-43m (No. 216)
Inequivalent atoms, fractional coordinates:
Pr (0.0000, 0.0000, 0.0000)
Th (0.0000, 0.0000, 0.5000)
Ni (0.2500, 0.2500, 0.2500)
Pd (0.2500, 0.2500, 0.7500)

Name the least stable of them. arrangement B.

Arrangement A

Below is crystalline NiPd3Pt3 at its relaxed geometry, with properties calculated at the GGA-PBE level.

Summary:
M_tot	0.32	μB per atom

Lattice parameters (Å, degrees): 7.9778 7.9778 6.1094 90.00 90.00 120.00
Space group R3m (No. 160, hexagonal axes)
Inequivalent atoms, fractional coordinates:
Ni (0.0000, 0.0000, 0.0000)
Pd (0.0960, 0.5480, 0.9990)
Pt (0.0394, 0.5197, 0.4249)

Arrangement B

Below is crystalline NiPd3Pt3 at its relaxed geometry, with properties calculated at the GGA-PBE level.

Summary:
M_tot	0.19	μB per atom

Lattice parameters (Å, degrees): 8.3871 6.9941 7.5747 90.00 92.69 90.00
Space group C2/m (No. 12)
Inequivalent atoms, fractional coordinates:
Ni (0.0032, 0.0000, 0.2814)
Pd (0.2359, 0.0000, 0.5189)
Pd (0.2381, 0.2793, 0.7850)
Pt (0.0000, 0.1878, 0.0000)
Pt (0.0000, 0.2803, 0.5000)
Pt (0.0311, 0.5000, 0.1998)

Name the least stable of them. arrangement A.

Arrangement A

Below is crystalline Ni2Pd8Pt at its relaxed geometry, with properties calculated at the GGA-PBE level.

Summary:
M_tot	0.33	μB per atom

Lattice parameters (Å, degrees): 11.6747 7.1226 4.5175 90.00 102.68 90.00
Space group C2/m (No. 12)
Inequivalent atoms, fractional coordinates:
Ni (0.1135, 0.0000, 0.0450)
Pd (0.0709, 0.3093, 0.2791)
Pd (0.1488, 0.5000, 0.8248)
Pd (0.2244, 0.0000, 0.6020)
Pt (0.0000, 0.0000, 0.5000)

Arrangement B

Below is crystalline Ni2Pd8Pt at its relaxed geometry, with properties calculated at the GGA-PBE level.

Summary:
M_tot	0.43	μB per atom

Lattice parameters (Å, degrees): 7.9861 10.5109 4.0400 90.00 90.00 90.00
Space group Cmmm (No. 65)
Inequivalent atoms, fractional coordinates:
Ni (0.0000, 0.1120, 0.0000)
Pd (0.0000, 0.2451, 0.5000)
Pd (0.1651, 0.0000, 0.5000)
Pd (0.1767, 0.3656, 0.0000)
Pt (0.0000, 0.5000, 0.5000)

Name the least stable of them. arrangement A.

Arrangement A

Below is crystalline Ni4PdPt5 at its relaxed geometry, with properties calculated at the GGA-PBE level.

Summary:
M_tot	0.48	μB per atom

Lattice parameters (Å, degrees): 7.8764 8.6154 4.6102 90.00 90.00 90.00
Space group Pmmn (No. 59, origin choice 2)
Inequivalent atoms, fractional coordinates:
Ni (0.0877, 0.2500, 0.0752)
Ni (0.2500, 0.0057, 0.2520)
Pd (0.2500, 0.7500, 0.9663)
Pt (0.0790, 0.5027, 0.7480)
Pt (0.2500, 0.2500, 0.5674)

Arrangement B

Below is crystalline Ni4PdPt5 at its relaxed geometry, with properties calculated at the GGA-PBE level.

Summary:
M_tot	0.49	μB per atom

Lattice parameters (Å, degrees): 2.7243 3.6870 13.8556 90.00 90.00 90.00
Space group Pmmm (No. 47)
Inequivalent atoms, fractional coordinates:
Ni (0.0000, 0.0000, 0.0972)
Ni (0.0000, 0.0000, 0.2924)
Pd (0.0000, 0.0000, 0.5000)
Pt (0.5000, 0.5000, 0.0000)
Pt (0.5000, 0.5000, 0.1946)
Pt (0.5000, 0.5000, 0.3896)

Name the least stable of them. arrangement A.